Density functional theory data (GGA+U) for crystalline Cs3Fe2O4 at its relaxed geometry.

For the volume, the calculation gives 23.13 Å³ per atom. Its energy is -0.3737 Ry/atom. The symmetry is Imma (74).

Unit cell a=9.4446 b=9.4446 c=9.4446 alpha=141.29 beta=67.88 gamma=126.60
Positions (direct):
Cs  0.1485  0.3985  0.7500
Cs  0.1877  0.0732  0.1145
Cs  0.4588  0.0732  0.3855
Cs  0.5412  0.9268  0.6145
Cs  0.8123  0.9268  0.8855
Cs  0.8515  0.6015  0.2500
Fe  0.0989  0.6390  0.4600
Fe  0.3210  0.3610  0.9600
Fe  0.6790  0.6390  0.0400
Fe  0.9011  0.3610  0.5400
O  0.1656  0.0000  0.6656
O  0.1656  0.5000  0.1656
O  0.1666  0.5832  0.5834
O  0.5003  0.4168  0.0834
O  0.4997  0.5832  0.9166
O  0.8334  0.4168  0.4166
O  0.8344  0.0000  0.3344
O  0.8344  0.5000  0.8344